Here is a geometry-optimized Ca3TbTe4 structure from Alexandria via LeMat-Bulk. Energies are from GGA-PBE.

Results
VASP energy, eV/cell: -71.2
ΔE_f (raw), eV/atom: -1.553
N(E_F), states/eV per atom: 0.306

a b c (Å): 8.9690 12.6460 4.4535
angles (deg): 90.00 90.00 90.00
With the nearest neighbours (Å) after each atom.
Space group Cmmm (No. 65)
Unique sites:
Ca: 0.0000 0.0000 0.0000 (multiplicity 2)  6 Te 3.19
Ca: 0.2500 0.2500 0.5000 (multiplicity 4)  6 Te 3.16
Tb: 0.0000 0.5000 0.0000 (multiplicity 2)  6 Te 3.13-3.14
Te: 0.0000 0.2524 0.0000 (multiplicity 4)  1 Tb 3.13, 5 Ca 3.16-3.19
Te: 0.2461 0.5000 0.5000 (multiplicity 4)  2 Tb 3.14, 4 Ca 3.16-3.19